Arrangement i

MnZn2W: relaxed, GGA-PBE.

```
data_MnZn2W
_symmetry_space_group_name_H-M 'C 1 2/m 1'
_symmetry_Int_Tables_number 12
_symmetry_space_group_name_Hall '-C 2y'
_cell_length_a 5.1862
_cell_length_b 8.5397
_cell_length_c 2.6345
_cell_angle_alpha 90.00
_cell_angle_beta 101.29
_cell_angle_gamma 90.00
loop_
_atom_site_label
_atom_site_type_symbol
_atom_site_fract_x
_atom_site_fract_y
_atom_site_fract_z
Mn1 Mn 0.0000 0.0000 0.0000
Zn1 Zn 0.2500 0.2500 0.5000
W1 W 0.0000 0.5000 0.0000
```

Calculated values
density of states at the Fermi level: 0.649 states/eV per atom
volume: 114.42 Å³ per cell


Arrangement ii

MnZn2W: relaxed, GGA-PBE.

```
data_MnZn2W
_symmetry_space_group_name_H-M 'R -3 m'
_symmetry_Int_Tables_number 166
_symmetry_space_group_name_Hall '-R 3 2"'
_cell_length_a 2.7851
_cell_length_b 2.7851
_cell_length_c 26.7392
_cell_angle_alpha 90.00
_cell_angle_beta 90.00
_cell_angle_gamma 120.00
loop_
_atom_site_label
_atom_site_type_symbol
_atom_site_fract_x
_atom_site_fract_y
_atom_site_fract_z
Mn1 Mn 0.0000 0.0000 0.0000
Zn1 Zn 0.0000 0.0000 0.2525
W1 W 0.0000 0.0000 0.5000
```

Calculated values
density of states at the Fermi level: 1.158 states/eV per atom
volume: 179.63 Å³ per cell


Which one is most stable, and which one is least stable? arrangement i is the most stable of them, while arrangement ii is the least stable.


Arrangement i

MnZn2W: relaxed, GGA-PBE.

```
data_MnZn2W
_symmetry_space_group_name_H-M 'P 4 m m'
_symmetry_Int_Tables_number 99
_symmetry_space_group_name_Hall 'P 4 -2'
_cell_length_a 3.0212
_cell_length_b 3.0212
_cell_length_c 6.1709
_cell_angle_alpha 90.00
_cell_angle_beta 90.00
_cell_angle_gamma 90.00
loop_
_atom_site_label
_atom_site_type_symbol
_atom_site_fract_x
_atom_site_fract_y
_atom_site_fract_z
Mn1 Mn 0.0000 0.0000 0.0000
Zn1 Zn 0.0000 0.0000 0.4930
Zn2 Zn 0.5000 0.5000 0.7435
W1 W 0.5000 0.5000 0.2009
```

Calculated values
density of states at the Fermi level: 0.776 states/eV per atom
volume: 56.32 Å³ per cell


Arrangement ii

MnZn2W: relaxed, GGA-PBE.

```
data_MnZn2W
_symmetry_space_group_name_H-M 'I -4 2 d'
_symmetry_Int_Tables_number 122
_symmetry_space_group_name_Hall 'I -4 2bw'
_cell_length_a 6.9096
_cell_length_b 6.9096
_cell_length_c 5.1309
_cell_angle_alpha 90.00
_cell_angle_beta 90.00
_cell_angle_gamma 90.00
loop_
_atom_site_label
_atom_site_type_symbol
_atom_site_fract_x
_atom_site_fract_y
_atom_site_fract_z
Mn1 Mn 0.0000 0.0000 0.0000
Zn1 Zn 0.2358 0.2500 0.1250
W1 W 0.0000 0.0000 0.5000
```

Calculated values
density of states at the Fermi level: 0.644 states/eV per atom
volume: 244.97 Å³ per cell


Which one is most stable, and which one is least stable? arrangement i is the most stable of them, while arrangement ii is the least stable.


Arrangement i

Mn3ZnW: relaxed, GGA-PBE.

```
data_Mn3ZnW
_symmetry_space_group_name_H-M 'P m -3 m'
_symmetry_Int_Tables_number 221
_symmetry_space_group_name_Hall '-P 4 2 3'
_cell_length_a 4.1833
_cell_length_b 4.1833
_cell_length_c 4.1833
_cell_angle_alpha 90.00
_cell_angle_beta 90.00
_cell_angle_gamma 90.00
loop_
_atom_site_label
_atom_site_type_symbol
_atom_site_fract_x
_atom_site_fract_y
_atom_site_fract_z
Mn1 Mn 0.0000 0.0000 0.5000
Zn1 Zn 0.0000 0.0000 0.0000
W1 W 0.5000 0.5000 0.5000
```

Calculated values
density of states at the Fermi level: 2.003 states/eV per atom
volume: 73.21 Å³ per cell


Arrangement ii

Mn3ZnW: relaxed, GGA-PBE.

```
data_Mn3ZnW
_symmetry_space_group_name_H-M 'P m -3 m'
_symmetry_Int_Tables_number 221
_symmetry_space_group_name_Hall '-P 4 2 3'
_cell_length_a 4.6032
_cell_length_b 4.6032
_cell_length_c 4.6032
_cell_angle_alpha 90.00
_cell_angle_beta 90.00
_cell_angle_gamma 90.00
loop_
_atom_site_label
_atom_site_type_symbol
_atom_site_fract_x
_atom_site_fract_y
_atom_site_fract_z
Mn1 Mn 0.0000 0.0000 0.5000
Zn1 Zn 0.5000 0.5000 0.5000
W1 W 0.0000 0.0000 0.0000
```

Calculated values
density of states at the Fermi level: 2.001 states/eV per atom
volume: 97.54 Å³ per cell


Which one is most stable, and which one is least stable? arrangement ii is the most stable of them, while arrangement i is the least stable.


Arrangement i

ZrMnW: relaxed, GGA-PBE.

```
data_ZrMnW
_symmetry_space_group_name_H-M 'F m m 2'
_symmetry_Int_Tables_number 42
_symmetry_space_group_name_Hall 'F 2 -2'
_cell_length_a 3.2897
_cell_length_b 4.6570
_cell_length_c 12.8003
_cell_angle_alpha 90.00
_cell_angle_beta 90.00
_cell_angle_gamma 90.00
loop_
_atom_site_label
_atom_site_type_symbol
_atom_site_fract_x
_atom_site_fract_y
_atom_site_fract_z
Zr1 Zr 0.0000 0.0000 0.0000
Mn1 Mn 0.0000 0.0000 0.3350
W1 W 0.0000 0.0000 0.6907
```

Calculated values
density of states at the Fermi level: 1.157 states/eV per atom
volume: 196.10 Å³ per cell


Arrangement ii

ZrMnW: relaxed, GGA-PBE.

```
data_ZrMnW
_symmetry_space_group_name_H-M 'P 3 m 1'
_symmetry_Int_Tables_number 156
_symmetry_space_group_name_Hall 'P 3 -2"'
_cell_length_a 4.3801
_cell_length_b 4.3801
_cell_length_c 2.9286
_cell_angle_alpha 90.00
_cell_angle_beta 90.00
_cell_angle_gamma 120.00
loop_
_atom_site_label
_atom_site_type_symbol
_atom_site_fract_x
_atom_site_fract_y
_atom_site_fract_z
Zr1 Zr 0.0000 0.0000 0.0000
Mn1 Mn 0.6667 0.3333 0.3386
W1 W 0.3333 0.6667 0.6193
```

Calculated values
density of states at the Fermi level: 0.853 states/eV per atom
volume: 48.66 Å³ per cell


Arrangement iii

ZrMnW: relaxed, GGA-PBE.

```
data_ZrMnW
_symmetry_space_group_name_H-M 'P 3 m 1'
_symmetry_Int_Tables_number 156
_symmetry_space_group_name_Hall 'P 3 -2"'
_cell_length_a 3.0431
_cell_length_b 3.0431
_cell_length_c 6.3614
_cell_angle_alpha 90.00
_cell_angle_beta 90.00
_cell_angle_gamma 120.00
loop_
_atom_site_label
_atom_site_type_symbol
_atom_site_fract_x
_atom_site_fract_y
_atom_site_fract_z
Zr1 Zr 0.0000 0.0000 0.0000
Mn1 Mn 0.6667 0.3333 0.3462
W1 W 0.3333 0.6667 0.6204
```

Calculated values
density of states at the Fermi level: 1.120 states/eV per atom
volume: 51.02 Å³ per cell


Which one is most stable, and which one is least stable? arrangement i is the most stable of them, while arrangement iii is the least stable.


Arrangement i

ZrMnW: relaxed, GGA-PBE.

```
data_ZrMnW
_symmetry_space_group_name_H-M 'I m m a'
_symmetry_Int_Tables_number 74
_symmetry_space_group_name_Hall '-I 2b 2'
_cell_length_a 5.2629
_cell_length_b 5.2845
_cell_length_c 7.2103
_cell_angle_alpha 90.00
_cell_angle_beta 90.00
_cell_angle_gamma 90.00
loop_
_atom_site_label
_atom_site_type_symbol
_atom_site_fract_x
_atom_site_fract_y
_atom_site_fract_z
Zr1 Zr 0.0000 0.2500 0.1282
Mn1 Mn 0.0000 0.0000 0.5000
W1 W 0.2500 0.2500 0.7500
```

Calculated values
density of states at the Fermi level: 0.703 states/eV per atom
volume: 200.53 Å³ per cell


Arrangement ii

ZrMnW: relaxed, GGA-PBE.

```
data_ZrMnW
_symmetry_space_group_name_H-M 'I 4 m m'
_symmetry_Int_Tables_number 107
_symmetry_space_group_name_Hall 'I 4 -2'
_cell_length_a 3.0984
_cell_length_b 3.0984
_cell_length_c 10.1690
_cell_angle_alpha 90.00
_cell_angle_beta 90.00
_cell_angle_gamma 90.00
loop_
_atom_site_label
_atom_site_type_symbol
_atom_site_fract_x
_atom_site_fract_y
_atom_site_fract_z
Zr1 Zr 0.0000 0.0000 0.0000
Mn1 Mn 0.0000 0.0000 0.3258
W1 W 0.0000 0.0000 0.6926
```

Calculated values
density of states at the Fermi level: 0.858 states/eV per atom
volume: 97.62 Å³ per cell


Arrangement iii

ZrMnW: relaxed, GGA-PBE.

```
data_ZrMnW
_symmetry_space_group_name_H-M 'F -4 3 m'
_symmetry_Int_Tables_number 216
_symmetry_space_group_name_Hall 'F -4 2 3'
_cell_length_a 6.0149
_cell_length_b 6.0149
_cell_length_c 6.0149
_cell_angle_alpha 90.00
_cell_angle_beta 90.00
_cell_angle_gamma 90.00
loop_
_atom_site_label
_atom_site_type_symbol
_atom_site_fract_x
_atom_site_fract_y
_atom_site_fract_z
Zr1 Zr 0.0000 0.0000 0.0000
Mn1 Mn 0.2500 0.2500 0.2500
W1 W 0.0000 0.0000 0.5000
```

Calculated values
density of states at the Fermi level: 0.706 states/eV per atom
volume: 217.61 Å³ per cell


Which one is most stable, and which one is least stable? arrangement i is the most stable of them, while arrangement iii is the least stable.


Arrangement i

Y4Mn3: relaxed, GGA-PBE.

```
data_Y4Mn3
_symmetry_space_group_name_H-M 'I 4/m m m'
_symmetry_Int_Tables_number 139
_symmetry_space_group_name_Hall '-I 4 2'
_cell_length_a 3.4791
_cell_length_b 3.4791
_cell_length_c 28.3448
_cell_angle_alpha 90.00
_cell_angle_beta 90.00
_cell_angle_gamma 90.00
loop_
_atom_site_label
_atom_site_type_symbol
_atom_site_fract_x
_atom_site_fract_y
_atom_site_fract_z
Y1 Y 0.0000 0.0000 0.0620
Y2 Y 0.0000 0.0000 0.3354
Mn1 Mn 0.0000 0.0000 0.2288
Mn2 Mn 0.0000 0.0000 0.5000
```

Calculated values
density of states at the Fermi level: 1.339 states/eV per atom
volume: 343.09 Å³ per cell


Arrangement ii

Y4Mn3: relaxed, GGA-PBE.

```
data_Y4Mn3
_symmetry_space_group_name_H-M 'P 6/m m m'
_symmetry_Int_Tables_number 191
_symmetry_space_group_name_Hall '-P 6 2'
_cell_length_a 5.5389
_cell_length_b 5.5389
_cell_length_c 6.2917
_cell_angle_alpha 90.00
_cell_angle_beta 90.00
_cell_angle_gamma 120.00
loop_
_atom_site_label
_atom_site_type_symbol
_atom_site_fract_x
_atom_site_fract_y
_atom_site_fract_z
Y1 Y 0.0000 0.0000 0.2440
Y2 Y 0.3333 0.6667 0.5000
Mn1 Mn 0.0000 0.5000 0.0000
```

Calculated values
density of states at the Fermi level: 1.871 states/eV per atom
volume: 167.17 Å³ per cell


Which one is most stable, and which one is least stable? arrangement i is the most stable of them, while arrangement ii is the least stable.